Record 1
Si2NiAu, relaxed, DFT PBE-GGA; density of states at the Fermi level = 1.95 states/eV/cell; E_form (uncorrected) = 0.18 eV per atom; magnetization = 0.000 μB/atom; SG = Cmmm
1.0
2.643 -3.056 0.000
2.643 3.056 0.000
0.000 0.000 3.574
Si Ni Au
2 1 1
Cartesian
1.321 1.528 0.000 Si
1.321 -1.528 0.000 Si
0.000 0.000 1.787 Ni
2.643 0.000 1.787 Au

---

Record 2
Si2Ru2I, relaxed, DFT PBE-GGA; density of states at the Fermi level = 6.15 states/eV/cell; energy relative to the lowest polymorph listed for this composition = 0.000 eV per atom; E_form (uncorrected) = -0.11 eV per atom; magnetization = 0.000 μB/atom; SG = I4/mmm
1.0
-1.811 1.811 6.618
1.811 -1.811 6.618
1.811 1.811 -6.618
Si Ru I
2 2 1
Cartesian
1.811 0.000 3.309 Si
0.000 1.811 3.309 Si
0.000 0.000 1.744 Ru
0.000 0.000 11.492 Ru
0.000 0.000 6.618 I

---

Record 3
SnPSeN2, relaxed, DFT PBE-GGA; density of states at the Fermi level = 2.14 states/eV/cell; energy relative to the lowest polymorph listed for this composition = 0.000 eV per atom; E_form (uncorrected) = 0.94 eV per atom; magnetization = 0.104 μB/atom; SG = P4/mmm
1.0
3.771 0.000 0.000
0.000 3.771 0.000
0.000 0.000 4.962
Sn P Se N
1 1 1 2
Cartesian
0.000 0.000 0.000 Sn
1.886 1.886 2.481 P
1.886 1.886 0.000 Se
0.000 1.886 2.481 N
1.886 0.000 2.481 N

---

Record 4
Tb2YTmS4, relaxed, DFT PBE-GGA; density of states at the Fermi level = 4.79 states/eV/cell; E_form (uncorrected) = -1.98 eV per atom; magnetization = 0.000 μB/atom; SG = P2/m
1.0
6.777 0.000 0.000
0.000 3.870 0.000
-2.216 0.000 6.416
Tb Y Tm S
2 1 1 4
Cartesian
0.000 0.000 0.000 Tb
3.389 1.935 0.000 Tb
-1.108 1.935 3.208 Y
2.281 0.000 3.208 Tm
0.055 0.000 4.789 S
1.164 1.935 1.643 S
3.397 1.935 4.773 S
4.506 0.000 1.627 S

---

Which value of magnetization does entry 1 give? 0.000 μB/atom